Compound: Na3Cr2InSe6
Source: Alexandria
Functional: PBE
Structure: optimized geometry

Calculated values
final energy = -56.40 eV/f.u.
formation energy (no corrections) = -76.8 kJ per mole of atoms

abc: 6.7032 11.6107 7.2657
angles: 90.00 108.06 90.00
Space group C2/m (No. 12)
Unique sites:
Na 0.0000 0.0000 0.0000 x2
Na 0.0000 0.3385 0.0000 x4
Cr 0.0000 0.1672 0.5000 x4
In 0.0000 0.5000 0.5000 x2
Se 0.2141 0.0000 0.7062 x4
Se 0.2466 0.3225 0.7056 x8

***

Compound: Mg2CuSe
Source: Alexandria
Functional: PBE
Structure: optimized geometry

Calculated values
final energy = -12.04 eV/f.u.
formation energy (no corrections) = -30.7 kJ per mole of atoms

abc: 3.8500 3.7839 5.6867
angles: 90.00 105.50 90.00
Space group P2/m (No. 10)
Unique sites:
Mg 0.0000 0.0000 0.0000 x1
Mg 0.5000 0.5000 0.5000 x1
Cu 0.0000 0.0000 0.5000 x1
Se 0.5000 0.5000 0.0000 x1